Record 1
Y3AsPb | PBEsol | relaxed

Values from the calculation:
ΔH_f (0 K): 6.81 kcal/mol of atoms
Size of the total moment: 0.0 μB per formula unit
Space-group type: Pm-3m
DOS(E_F): 5.3 states/eV/f.u.

a = 5.6004 Å, b = 5.6004 Å, c = 5.6004 Å
α = 90.00°, β = 90.00°, γ = 90.00°
Fractional coordinates of all 5 atoms:
As (0.5000, 0.5000, 0.5000)
Y (0.5000, 0.0000, 0.0000)
Y (0.0000, 0.0000, 0.5000)
Y (0.0000, 0.5000, 0.0000)
Pb (0.0000, 0.0000, 0.0000)



Record 2
ZrCuCl2 | PBEsol | relaxed

Values from the calculation:
Raw formation energy: -0.08 eV per atom
Size of the total moment: 0.9 μB per formula unit
Space-group type: F-43m
DOS(E_F): 3.2 states/eV/f.u.
ΔE to the lowest computed polymorph: 353 meV per atom

a = 4.6342 Å, b = 4.6342 Å, c = 4.6342 Å
α = 60.00°, β = 60.00°, γ = 60.00°
Last column: magnetic moment on the atom in μB.
Fractional coordinates of all 4 atoms:
Cl (0.0000, 0.0000, 0.0000)  -0.01
Cl (0.2500, 0.2500, 0.2500)  0.00
Zr (0.7500, 0.7500, 0.7500)  0.56
Cu (0.5000, 0.5000, 0.5000)  0.01



Record 3
CoSiB3 | PBEsol | relaxed

Values from the calculation:
Raw formation energy: 1.84 eV per atom
Size of the total moment: 1.8 μB per formula unit
Space-group type: Pm-3m
DOS(E_F): 6.2 states/eV/f.u.
ΔE to the lowest computed polymorph: 806 meV per atom

a = 3.8685 Å, b = 3.8685 Å, c = 3.8685 Å
α = 90.00°, β = 90.00°, γ = 90.00°
Last column: magnetic moment on the atom in μB.
Fractional coordinates of all 5 atoms:
B (0.0000, 0.5000, 0.0000)  0.01
Co (0.5000, 0.5000, 0.5000)  1.71
Si (0.0000, 0.0000, 0.0000)  0.02
B (0.5000, 0.0000, 0.0000)  0.01
B (0.0000, 0.0000, 0.5000)  0.01